VASP calculation (PBE) on an optimized crystal structure of Ac2Mg3Ge2.

Properties
Space group: Cmmm (65)
E_tot: -3.492 eV per atom
Spin magnetization: 0.000 μB/f.u.
Formation energy: -0.32 eV per atom
ρ: 5.49 g/cm3

Lattice parameters (Å, degrees): 11.145 11.145 4.539 90.00 90.00 158.84
Fractional coordinates of all 7 atoms:
Ac 0.169 0.831 0.000
Ac 0.831 0.169 0.000
Mg 0.000 0.000 0.000
Mg 0.430 0.570 0.500
Mg 0.570 0.430 0.500
Ge 0.288 0.712 0.500
Ge 0.712 0.288 0.500